1.
A relaxed structure of Ba3PW, computed with PBEsol.

Lattice parameters (Å, degrees): 6.088 6.088 6.088 90.00 90.00 90.00
Positions (direct):
Ba 0.000 0.000 0.500
Ba 0.000 0.500 0.000
Ba 0.500 0.000 0.000
P 0.000 0.000 0.000
W 0.500 0.500 0.500

DOS(E_F)	4.1	states/eV per cell
total moment	1.13	μB/atom
formation energy from the elements	0.789	eV/atom

=====

2.
A relaxed structure of BaPW2, computed with PBEsol.

Lattice parameters (Å, degrees): 5.885 5.885 5.885 149.58 118.63 70.03
Positions (direct):
Ba 0.000 0.000 0.000
P 0.723 0.223 0.500
W 0.320 0.820 0.500
W 0.524 0.524 0.000

DOS(E_F)	3.4	states/eV per cell
total moment	0.00	μB/atom
formation energy from the elements	1.006	eV/atom

=====

3.
A relaxed structure of BaP2W, computed with PBEsol.

Lattice parameters (Å, degrees): 7.333 7.333 7.333 29.24 29.24 29.24
Positions (direct):
Ba 0.000 0.000 0.000
P 0.228 0.228 0.228
P 0.772 0.772 0.772
W 0.500 0.500 0.500

DOS(E_F)	0.6	states/eV per cell
total moment	0.00	μB/atom
formation energy from the elements	-0.417	eV/atom

=====

4.
A relaxed structure of BaPW2, computed with PBEsol.

Lattice parameters (Å, degrees): 4.455 4.455 6.751 99.98 99.98 43.10
Positions (direct):
Ba 0.000 0.000 0.000
P 0.262 0.262 0.662
W 0.531 0.531 0.531
W 0.796 0.796 0.389

DOS(E_F)	3.0	states/eV per cell
total moment	0.00	μB/atom
formation energy from the elements	0.331	eV/atom

=====

5.
A relaxed structure of Ba2YP, computed with PBEsol.

Lattice parameters (Å, degrees): 7.996 7.996 4.357 90.00 90.00 140.53
Positions (direct):
Ba 0.146 0.854 0.000
Ba 0.854 0.146 0.000
Y 0.500 0.500 0.500
P 0.000 0.000 0.500

DOS(E_F)	4.2	states/eV per cell
total moment	0.55	μB/atom
formation energy from the elements	-0.450	eV/atom

=====

6.
A relaxed structure of Ba2YP, computed with PBEsol.

Lattice parameters (Å, degrees): 6.229 6.229 6.229 134.40 134.40 66.46
Positions (direct):
Ba 0.000 0.000 0.000
Ba 0.750 0.250 0.500
Y 0.250 0.750 0.500
P 0.500 0.500 0.000

DOS(E_F)	4.4	states/eV per cell
total moment	0.00	μB/atom
formation energy from the elements	-0.091	eV/atom

=====

7.
A relaxed structure of BaYP2, computed with PBEsol.

Lattice parameters (Å, degrees): 5.007 5.007 5.007 60.00 60.00 60.00
Positions (direct):
Ba 0.000 0.000 0.000
Y 0.750 0.750 0.750
P 0.250 0.250 0.250
P 0.500 0.500 0.500

DOS(E_F)	2.8	states/eV per cell
total moment	0.00	μB/atom
excess energy over the best structure of this formula in the dataset	632	meV per atom
formation energy from the elements	-0.122	eV/atom

=====

8.
A relaxed structure of Ba2YP, computed with PBEsol.

Lattice parameters (Å, degrees): 8.479 8.479 8.479 95.72 95.72 143.20
Positions (direct):
Ba 0.375 0.234 0.359
Ba 0.766 0.125 0.141
Ba 0.875 0.016 0.641
Ba 0.984 0.625 0.859
Y 0.250 0.750 0.500
Y 0.500 0.500 0.000
P 0.000 0.000 0.000
P 0.750 0.250 0.500

DOS(E_F)	13.2	states/eV per cell
total moment	0.06	μB/atom
formation energy from the elements	-0.348	eV/atom

=====

9.
A relaxed structure of Ba2YP, computed with PBEsol.

Lattice parameters (Å, degrees): 5.598 5.598 4.305 90.00 90.00 111.29
Positions (direct):
Ba 0.000 0.500 0.000
Ba 0.500 0.000 0.000
Y 0.000 0.000 0.500
P 0.500 0.500 0.500

DOS(E_F)	4.6	states/eV per cell
total moment	0.00	μB/atom
formation energy from the elements	-0.107	eV/atom

=====

10.
A relaxed structure of BaYP3, computed with PBEsol.

Lattice parameters (Å, degrees): 5.200 5.200 5.200 90.00 90.00 90.00
Positions (direct):
Ba 0.000 0.000 0.000
Y 0.500 0.500 0.500
P 0.000 0.500 0.500
P 0.500 0.000 0.500
P 0.500 0.500 0.000

DOS(E_F)	3.9	states/eV per cell
total moment	0.00	μB/atom
formation energy from the elements	-0.361	eV/atom

=====

11.
A relaxed structure of BaYP2, computed with PBEsol.

Lattice parameters (Å, degrees): 5.418 5.418 3.217 90.00 90.00 90.00
Positions (direct):
Ba 0.000 0.000 0.000
Y 0.500 0.500 0.000
P 0.000 0.500 0.500
P 0.500 0.000 0.500

DOS(E_F)	1.8	states/eV per cell
total moment	0.04	μB/atom
excess energy over the best structure of this formula in the dataset	0	meV per atom
formation energy from the elements	-0.754	eV/atom

=====

12.
A relaxed structure of BaYP2, computed with PBEsol.

Lattice parameters (Å, degrees): 6.192 6.192 6.192 139.86 139.86 58.06
Positions (direct):
Ba 0.000 0.000 0.000
Y 0.250 0.750 0.500
P 0.500 0.500 0.000
P 0.750 0.250 0.500

DOS(E_F)	1.8	states/eV per cell
total moment	0.00	μB/atom
excess energy over the best structure of this formula in the dataset	131	meV per atom
formation energy from the elements	-0.622	eV/atom